# 1
# PBE BaGaAu, optimized geometry
data_BaGaAu
_chemical_formula_sum 'Ba1 Ga1 Au1'
_cell_length_a 5.0834
_cell_length_b 5.0834
_cell_length_c 5.0834
_cell_angle_alpha 60.00
_cell_angle_beta 60.00
_cell_angle_gamma 60.00
_space_group_name_H-M_alt 'P 1'
_space_group_IT_number 1
_space_group_name_Hall 'P 1'
loop_
_atom_site_label
_atom_site_type_symbol
_atom_site_fract_x
_atom_site_fract_y
_atom_site_fract_z
_atom_site_occupancy
Au1 Au 0.2500 0.2500 0.2500 1
Ba1 Ba 0.7500 0.7500 0.7500 1
Ga1 Ga 0.0000 0.0000 0.0000 1
# * VASP energy: -8.9 eV per cell
# * ρ: 7.22 g cm⁻³

# 2
# PBE LiZrPbAu, optimized geometry
data_LiZrPbAu
_chemical_formula_sum 'Li1 Zr1 Pb1 Au1'
_cell_length_a 4.8675
_cell_length_b 4.8675
_cell_length_c 4.8675
_cell_angle_alpha 60.00
_cell_angle_beta 60.00
_cell_angle_gamma 60.00
_space_group_name_H-M_alt 'P 1'
_space_group_IT_number 1
_space_group_name_Hall 'P 1'
loop_
_atom_site_label
_atom_site_type_symbol
_atom_site_fract_x
_atom_site_fract_y
_atom_site_fract_z
_atom_site_occupancy
Au1 Au 0.2500 0.2500 0.2500 1
Li1 Li 0.7500 0.7500 0.7500 1
Pb1 Pb 0.5000 0.5000 0.5000 1
Zr1 Zr 0.0000 0.0000 0.0000 1
# * relative energy among the computed polymorphs: 239 meV per atom
# * magnetic moment: 0.009 Bohr magnetons per cell
# * VASP energy: -17.7 eV per cell
# * ρ: 10.23 g cm⁻³

# 3
# PBE PrDyZn, optimized geometry
data_PrDyZn
_chemical_formula_sum 'Pr1 Dy1 Zn1'
_cell_length_a 5.0378
_cell_length_b 5.0378
_cell_length_c 5.0378
_cell_angle_alpha 60.00
_cell_angle_beta 60.00
_cell_angle_gamma 60.00
_space_group_name_H-M_alt 'P 1'
_space_group_IT_number 1
_space_group_name_Hall 'P 1'
loop_
_atom_site_label
_atom_site_type_symbol
_atom_site_fract_x
_atom_site_fract_y
_atom_site_fract_z
_atom_site_occupancy
Dy1 Dy 0.2500 0.2500 0.2500 1
Pr1 Pr 0.7500 0.7500 0.7500 1
Zn1 Zn 0.0000 0.0000 0.0000 1
# * relative energy among the computed polymorphs: 0 meV per atom
# * magnetic moment: 0.046 Bohr magnetons per cell
# * VASP energy: -10.6 eV per cell
# * ρ: 6.77 g cm⁻³
# * energy of formation: 0.025 eV per atom

# 4
# PBE ZnFeSiMo, optimized geometry
data_ZnFeSiMo
_chemical_formula_sum 'Zn1 Fe1 Si1 Mo1'
_cell_length_a 4.2059
_cell_length_b 4.2059
_cell_length_c 4.2059
_cell_angle_alpha 60.00
_cell_angle_beta 60.00
_cell_angle_gamma 60.00
_space_group_name_H-M_alt 'P 1'
_space_group_IT_number 1
_space_group_name_Hall 'P 1'
loop_
_atom_site_label
_atom_site_type_symbol
_atom_site_fract_x
_atom_site_fract_y
_atom_site_fract_z
_atom_site_occupancy
Fe1 Fe 0.7500 0.7500 0.7500 1
Mo1 Mo 0.2500 0.2500 0.2500 1
Si1 Si 0.0000 0.0000 0.0000 1
Zn1 Zn 0.5000 0.5000 0.5000 1
# * relative energy among the computed polymorphs: 0 meV per atom
# * magnetic moment: 2.445 Bohr magnetons per cell
# * VASP energy: -25.6 eV per cell
# * ρ: 7.74 g cm⁻³

# 5
# PBE Lu4CoBiN2, optimized geometry
data_Lu4CoBiN2
_chemical_formula_sum 'Lu4 Co1 Bi1 N2'
_cell_length_a 3.4391
_cell_length_b 3.4391
_cell_length_c 14.1900
_cell_angle_alpha 90.00
_cell_angle_beta 90.00
_cell_angle_gamma 120.00
_space_group_name_H-M_alt 'P 1'
_space_group_IT_number 1
_space_group_name_Hall 'P 1'
loop_
_atom_site_label
_atom_site_type_symbol
_atom_site_fract_x
_atom_site_fract_y
_atom_site_fract_z
_atom_site_occupancy
Bi1 Bi 0.3333 0.6667 0.5000 1
Co1 Co 0.6667 0.3333 0.0000 1
Lu1 Lu 0.3333 0.6667 0.1312 1
Lu2 Lu 0.6667 0.3333 0.3187 1
Lu3 Lu 0.6667 0.3333 0.6813 1
Lu4 Lu 0.3333 0.6667 0.8688 1
N1 N 0.0000 0.0000 0.2444 1
N2 N 0.0000 0.0000 0.7556 1
# * magnetic moment: 0.467 Bohr magnetons per cell
# * VASP energy: -53.6 eV per cell
# * ρ: 11.38 g cm⁻³

# 6
# PBE AlTlMo4C2, optimized geometry
data_AlTlMo4C2
_chemical_formula_sum 'Al1 Tl1 Mo4 C2'
_cell_length_a 3.0968
_cell_length_b 3.0968
_cell_length_c 13.8055
_cell_angle_alpha 90.00
_cell_angle_beta 90.00
_cell_angle_gamma 120.00
_space_group_name_H-M_alt 'P 1'
_space_group_IT_number 1
_space_group_name_Hall 'P 1'
loop_
_atom_site_label
_atom_site_type_symbol
_atom_site_fract_x
_atom_site_fract_y
_atom_site_fract_z
_atom_site_occupancy
Al1 Al 0.0000 0.0000 0.5000 1
C1 C 0.6667 0.3333 0.2606 1
C2 C 0.6667 0.3333 0.7394 1
Mo1 Mo 0.0000 0.0000 0.1780 1
Mo2 Mo 0.3333 0.6667 0.3458 1
Mo3 Mo 0.3333 0.6667 0.6542 1
Mo4 Mo 0.0000 0.0000 0.8220 1
Tl1 Tl 0.3333 0.6667 0.0000 1
# * magnetic moment: 0.008 Bohr magnetons per cell
# * VASP energy: -67.8 eV per cell
# * ρ: 9.26 g cm⁻³

# 7
# PBE Zr2PtAu3, optimized geometry
data_Zr2PtAu3
_chemical_formula_sum 'Zr2 Pt1 Au3'
_cell_length_a 3.5584
_cell_length_b 3.5584
_cell_length_c 8.7832
_cell_angle_alpha 90.00
_cell_angle_beta 90.00
_cell_angle_gamma 90.00
_space_group_name_H-M_alt 'P 1'
_space_group_IT_number 1
_space_group_name_Hall 'P 1'
loop_
_atom_site_label
_atom_site_type_symbol
_atom_site_fract_x
_atom_site_fract_y
_atom_site_fract_z
_atom_site_occupancy
Au1 Au 0.5000 0.5000 0.1664 1
Au2 Au 0.0000 0.0000 0.3341 1
Au3 Au 0.0000 0.0000 0.6663 1
Pt1 Pt 0.5000 0.5000 0.8382 1
Zr1 Zr 0.5000 0.5000 0.5044 1
Zr2 Zr 0.0000 0.0000 0.9905 1
# * magnetic moment: 0.014 Bohr magnetons per cell
# * VASP energy: -37.4 eV per cell
# * ρ: 14.46 g cm⁻³
# * energy of formation: -0.737 eV per atom

# 8
# PBE Tm2HfZn3CuAu2, optimized geometry
data_Tm2HfZn3CuAu2
_chemical_formula_sum 'Tm2 Hf1 Zn3 Cu1 Au2'
_cell_length_a 3.8111
_cell_length_b 7.1679
_cell_length_c 7.1679
_cell_angle_alpha 119.70
_cell_angle_beta 90.00
_cell_angle_gamma 90.00
_space_group_name_H-M_alt 'P 1'
_space_group_IT_number 1
_space_group_name_Hall 'P 1'
loop_
_atom_site_label
_atom_site_type_symbol
_atom_site_fract_x
_atom_site_fract_y
_atom_site_fract_z
_atom_site_occupancy
Au1 Au 0.5000 0.6575 0.3348 1
Au2 Au 0.5000 0.3348 0.6575 1
Cu1 Cu 0.0000 0.0097 0.0097 1
Hf1 Hf 0.0000 0.3991 0.3991 1
Tm1 Tm 0.0000 0.9993 0.5960 1
Tm2 Tm 0.0000 0.5960 0.9993 1
Zn1 Zn 0.5000 0.2390 0.0021 1
Zn2 Zn 0.5000 0.0021 0.2390 1
Zn3 Zn 0.5000 0.7626 0.7626 1
# * magnetic moment: 0.012 Bohr magnetons per cell
# * VASP energy: -37.4 eV per cell
# * ρ: 11.42 g cm⁻³
# * energy of formation: -0.498 eV per atom